Entry 1:
The following is a PBE+U calculation of a relaxed structure of VBiClO4, from Alexandria.

Lattice parameters (Å, degrees): 6.228 6.228 6.894 104.70 104.70 71.17
Sites, in units of the cell vectors:
V  0.142  0.142  0.275
V  0.858  0.858  0.725
Bi  0.268  0.268  0.875
Bi  0.732  0.732  0.125
Cl  0.489  0.489  0.237
Cl  0.511  0.511  0.763
O  0.007  0.377  0.147
O  0.032  0.032  0.750
O  0.235  0.235  0.534
O  0.377  0.007  0.147
O  0.623  0.993  0.853
O  0.765  0.765  0.466
O  0.968  0.968  0.250
O  0.993  0.623  0.853

Properties
DOS(E_F) (states/eV/cell): 7.9
Volume (Å³/cell): 240.40
Symmetry: C2/m (12)
Total magnetization (μB/atom): 0.00


Entry 2:
The following is a PBE+U calculation of a relaxed structure of Bi3WCl2O6, from Alexandria.

Lattice parameters (Å, degrees): 6.936 6.936 5.693 97.16 97.16 53.12
Sites, in units of the cell vectors:
Bi  0.000  0.000  0.000
Bi  0.000  0.500  0.500
Bi  0.500  0.000  0.500
W  0.500  0.500  0.500
Cl  0.205  0.205  0.899
Cl  0.795  0.795  0.101
O  0.209  0.668  0.693
O  0.332  0.791  0.307
O  0.361  0.361  0.307
O  0.639  0.639  0.693
O  0.668  0.209  0.693
O  0.791  0.332  0.307

Properties
DOS(E_F) (states/eV/cell): 1.7
Volume (Å³/cell): 216.96
Symmetry: C2/m (12)
Total magnetization (μB/atom): 0.00


Entry 3:
The following is a PBE+U calculation of a relaxed structure of BiW2Cl8O2, from Alexandria.

Lattice parameters (Å, degrees): 7.756 8.925 11.176 88.95 79.87 87.52
Sites, in units of the cell vectors:
Bi  0.126  0.331  0.085
Bi  0.874  0.669  0.915
W  0.218  0.884  0.648
W  0.282  0.102  0.354
W  0.718  0.898  0.646
W  0.782  0.116  0.352
Cl  0.090  0.625  0.092
Cl  0.150  0.950  0.857
Cl  0.211  0.625  0.698
Cl  0.227  0.161  0.576
Cl  0.280  0.370  0.290
Cl  0.284  0.832  0.423
Cl  0.320  0.034  0.147
Cl  0.388  0.342  0.926
Cl  0.612  0.658  0.074
Cl  0.680  0.966  0.853
Cl  0.716  0.168  0.577
Cl  0.720  0.630  0.710
Cl  0.773  0.839  0.424
Cl  0.789  0.375  0.302
Cl  0.850  0.050  0.143
Cl  0.910  0.375  0.908
O  0.021  0.105  0.365
O  0.461  0.893  0.644
O  0.539  0.107  0.356
O  0.979  0.895  0.635

Properties
DOS(E_F) (states/eV/cell): 0.0
Volume (Å³/cell): 760.85
Symmetry: P-1 (2)
Total magnetization (μB/atom): 0.23


Number 1: calculated total energy -6.002 eV per atom. Number 2: calculated total energy -5.550 eV per atom. Number 3: calculated total energy -4.523 eV per atom.